GdNpPdRh | GGA-PBE | optimized geometry

Structure (extended XYZ):
```
4
Lattice="-3.092 3.482 -1.597 -3.072 -0.957 -3.726 -4.832 -0.425 0.841" Properties=species:S:1:pos:R:3 pbc="T T T"
Pd 0.000 0.000 0.000
Np -8.248 1.574 -3.361
Gd -2.749 0.525 -1.120
Rh -5.499 1.050 -2.241
```

The total magnetization comes out at 0.68 μB per atom. As for the formation energy: -156 kJ/mol of formula units.